Entry 1:
## PaAl11Ru (PBE)

Data for a geometry-optimized PaAl11Ru structure.

- Electronic total energy: -4.842 eV per atom
- Fermi-level density of states: 8.45 states/eV/cell
- Calculated volume: 16.7 A^3/atom
- Density: 4.80 g/cm3

Lattice parameters (Å, degrees): 5.201 7.103 6.816 82.25 67.57 69.31
Atoms (fractional coordinates):
Pa 0.000 0.000 0.000
Al 0.286 0.221 0.213
Al 0.714 0.779 0.787
Al 0.501 0.779 0.213
Al 0.499 0.221 0.787
Al 0.362 0.643 0.653
Al 0.638 0.357 0.347
Al 0.984 0.357 0.653
Al 0.016 0.643 0.347
Al 0.000 0.500 0.000
Al 0.500 0.000 0.500
Al 0.000 0.000 0.500
Ru 0.500 0.500 0.000

=====

Entry 2:
## Pa2AlRu2 (PBE)

Data for a geometry-optimized Pa2AlRu2 structure.

- Electronic total energy: -8.847 eV per atom
- Fermi-level density of states: 5.36 states/eV/cell
- Calculated volume: 19.7 A^3/atom
- Density: 11.67 g/cm3

Lattice parameters (Å, degrees): 4.425 5.277 5.277 67.54 65.21 65.21
Atoms (fractional coordinates):
Pa 0.190 0.310 0.310
Pa 0.810 0.690 0.690
Al 0.000 0.000 0.000
Ru 0.500 0.247 0.753
Ru 0.500 0.753 0.247

=====

Entry 3:
## PaAl2Ru (PBE)

Data for a geometry-optimized PaAl2Ru structure.

- Electronic total energy: -7.025 eV per atom
- Fermi-level density of states: 4.24 states/eV/cell
- Calculated volume: 17.3 A^3/atom
- Density: 9.24 g/cm3

Lattice parameters (Å, degrees): 3.068 3.068 7.370 90.00 90.00 90.00
Atoms (fractional coordinates):
Ru 0.500 0.500 0.000
Pa 0.500 0.500 0.500
Al 0.000 0.000 0.812
Al 0.000 0.000 0.188

=====

Entry 4:
## PaAl5Ru6 (PBE)

Data for a geometry-optimized PaAl5Ru6 structure.

- Electronic total energy: -7.685 eV per atom
- Fermi-level density of states: 6.56 states/eV/cell
- Calculated volume: 14.6 A^3/atom
- Density: 9.19 g/cm3

Lattice parameters (Å, degrees): 4.358 6.219 6.836 90.00 71.41 90.00
Atoms (fractional coordinates):
Ru 0.832 0.746 0.336
Ru 0.832 0.254 0.336
Ru 0.500 0.263 0.000
Ru 0.500 0.737 0.000
Ru 0.168 0.746 0.664
Ru 0.168 0.254 0.664
Pa 0.000 0.000 0.000
Al 0.669 0.500 0.662
Al 0.326 0.000 0.347
Al 0.000 0.500 0.000
Al 0.674 0.000 0.653
Al 0.331 0.500 0.338

=====

Entry 5:
## Sc2PaAl2Ru5 (PBE)

Data for a geometry-optimized Sc2PaAl2Ru5 structure.

- Electronic total energy: -8.162 eV per atom
- Fermi-level density of states: 19.01 states/eV/cell
- Calculated volume: 16.7 A^3/atom
- Density: 8.75 g/cm3

Lattice parameters (Å, degrees): 3.453 9.834 9.834 90.00 90.00 90.00
Atoms (fractional coordinates):
Sc 0.000 0.668 0.168
Sc 0.000 0.332 0.832
Sc 0.000 0.168 0.332
Sc 0.000 0.832 0.668
Pa 0.000 0.000 0.000
Pa 0.000 0.500 0.500
Al 0.000 0.127 0.627
Al 0.000 0.873 0.373
Al 0.000 0.627 0.873
Al 0.000 0.373 0.127
Ru 0.500 0.202 0.073
Ru 0.500 0.798 0.927
Ru 0.500 0.073 0.798
Ru 0.500 0.702 0.427
Ru 0.500 0.927 0.202
Ru 0.500 0.298 0.573
Ru 0.500 0.573 0.702
Ru 0.500 0.427 0.298
Ru 0.500 0.500 0.000
Ru 0.500 0.000 0.500

=====

Entry 6:
## Pa2Al2SiRu5 (PBE)

Data for a geometry-optimized Pa2Al2SiRu5 structure.

- Fermi-level density of states: 14.08 states/eV/cell
- E_form (uncorrected): -0.47 eV/atom
- Calculated volume: 16.3 A^3/atom
- Density: 10.70 g/cm3

Lattice parameters (Å, degrees): 3.167 10.139 10.139 90.00 90.00 90.00
Atoms (fractional coordinates):
Pa 0.000 0.674 0.174
Pa 0.000 0.326 0.826
Pa 0.000 0.174 0.326
Pa 0.000 0.826 0.674
Al 0.000 0.129 0.629
Al 0.000 0.871 0.371
Al 0.000 0.629 0.871
Al 0.000 0.371 0.129
Si 0.000 0.000 0.000
Si 0.000 0.500 0.500
Ru 0.500 0.199 0.049
Ru 0.500 0.801 0.951
Ru 0.500 0.049 0.801
Ru 0.500 0.699 0.451
Ru 0.500 0.951 0.199
Ru 0.500 0.301 0.549
Ru 0.500 0.549 0.699
Ru 0.500 0.451 0.301
Ru 0.500 0.500 0.000
Ru 0.500 0.000 0.500

=====

Entry 7:
## PaAlSiRu3 (PBE)

Data for a geometry-optimized PaAlSiRu3 structure.

- Fermi-level density of states: 16.43 states/eV/cell
- E_form (uncorrected): -0.28 eV/atom
- Calculated volume: 17.2 A^3/atom
- Density: 9.50 g/cm3

Lattice parameters (Å, degrees): 5.949 5.708 6.705 115.19 90.00 90.00
Atoms (fractional coordinates):
Pa 0.750 0.334 0.668
Pa 0.250 0.666 0.332
Al 0.250 0.365 0.730
Al 0.750 0.635 0.270
Si 0.250 0.903 0.805
Si 0.750 0.097 0.195
Ru 0.250 0.157 0.314
Ru 0.000 0.252 0.000
Ru 0.500 0.748 0.000
Ru 0.500 0.252 0.000
Ru 0.000 0.748 0.000
Ru 0.750 0.843 0.686

=====

Entry 8:
## Pa2Al2Si4Ru (PBE)

Data for a geometry-optimized Pa2Al2Si4Ru structure.

- Fermi-level density of states: 7.99 states/eV/cell
- E_form (uncorrected): -0.51 eV/atom
- Calculated volume: 17.3 A^3/atom
- Density: 7.80 g/cm3

Lattice parameters (Å, degrees): 6.005 6.005 6.005 91.69 119.03 119.03
Atoms (fractional coordinates):
Pa 0.500 0.750 0.250
Pa 0.500 0.250 0.750
Al 0.000 0.710 0.710
Al 0.000 0.290 0.290
Si 0.000 0.721 0.279
Si 0.442 0.721 0.721
Si 0.000 0.279 0.721
Si 0.558 0.279 0.279
Ru 0.000 0.000 0.000

=====

Entry 9:
## Pa2Al2SnRu5 (PBE)

Data for a geometry-optimized Pa2Al2SnRu5 structure.

- Electronic total energy: -8.150 eV per atom
- Fermi-level density of states: 12.92 states/eV/cell
- Calculated volume: 17.3 A^3/atom
- Density: 10.92 g/cm3

Lattice parameters (Å, degrees): 3.543 9.892 9.892 90.00 90.00 90.00
Atoms (fractional coordinates):
Pa 0.000 0.678 0.178
Pa 0.000 0.322 0.822
Pa 0.000 0.178 0.322
Pa 0.000 0.822 0.678
Al 0.000 0.120 0.620
Al 0.000 0.880 0.380
Al 0.000 0.620 0.880
Al 0.000 0.380 0.120
Sn 0.000 0.000 0.000
Sn 0.000 0.500 0.500
Ru 0.500 0.205 0.084
Ru 0.500 0.795 0.916
Ru 0.500 0.084 0.795
Ru 0.500 0.705 0.416
Ru 0.500 0.916 0.205
Ru 0.500 0.295 0.584
Ru 0.500 0.584 0.705
Ru 0.500 0.416 0.295
Ru 0.500 0.500 0.000
Ru 0.500 0.000 0.500

=====

Entry 10:
## Pa2TaAl2Ru5 (PBE)

Data for a geometry-optimized Pa2TaAl2Ru5 structure.

- Electronic total energy: -8.926 eV per atom
- Fermi-level density of states: 14.53 states/eV/cell
- Calculated volume: 17.1 A^3/atom
- Density: 11.71 g/cm3

Lattice parameters (Å, degrees): 3.348 10.093 10.093 90.00 90.00 90.00
Atoms (fractional coordinates):
Pa 0.000 0.673 0.173
Pa 0.000 0.327 0.827
Pa 0.000 0.173 0.327
Pa 0.000 0.827 0.673
Ta 0.000 0.000 0.000
Ta 0.000 0.500 0.500
Al 0.000 0.124 0.624
Al 0.000 0.876 0.376
Al 0.000 0.624 0.876
Al 0.000 0.376 0.124
Ru 0.500 0.203 0.071
Ru 0.500 0.797 0.929
Ru 0.500 0.071 0.797
Ru 0.500 0.703 0.429
Ru 0.500 0.929 0.203
Ru 0.500 0.297 0.571
Ru 0.500 0.571 0.703
Ru 0.500 0.429 0.297
Ru 0.500 0.500 0.000
Ru 0.500 0.000 0.500

=====

Entry 11:
## Th2PaAl2Ru5 (PBE)

Data for a geometry-optimized Th2PaAl2Ru5 structure.

- Electronic total energy: -8.386 eV per atom
- Fermi-level density of states: 8.07 states/eV/cell
- Calculated volume: 18.6 A^3/atom
- Density: 11.18 g/cm3

Lattice parameters (Å, degrees): 3.548 10.246 10.246 90.00 90.00 90.00
Atoms (fractional coordinates):
Th 0.000 0.671 0.171
Th 0.000 0.329 0.829
Th 0.000 0.171 0.329
Th 0.000 0.829 0.671
Pa 0.000 0.000 0.000
Pa 0.000 0.500 0.500
Al 0.000 0.125 0.625
Al 0.000 0.875 0.375
Al 0.000 0.625 0.875
Al 0.000 0.375 0.125
Ru 0.500 0.206 0.072
Ru 0.500 0.794 0.928
Ru 0.500 0.072 0.794
Ru 0.500 0.706 0.428
Ru 0.500 0.928 0.206
Ru 0.500 0.294 0.572
Ru 0.500 0.572 0.706
Ru 0.500 0.428 0.294
Ru 0.500 0.500 0.000
Ru 0.500 0.000 0.500

=====

Entry 12:
## TmPaAlRu (PBE)

Data for a geometry-optimized TmPaAlRu structure.

- Electronic total energy: -6.954 eV per atom
- Fermi-level density of states: 4.87 states/eV/cell
- Calculated volume: 21.2 A^3/atom
- Density: 10.34 g/cm3

Lattice parameters (Å, degrees): 4.932 4.932 4.932 60.00 60.00 60.00
Atoms (fractional coordinates):
Ru 0.750 0.750 0.750
Pa 0.000 0.000 0.000
Tm 0.500 0.500 0.500
Al 0.250 0.250 0.250

=====

Entry 13:
## UPa2Al2Ru5 (PBE)

Data for a geometry-optimized UPa2Al2Ru5 structure.

- Electronic total energy: -8.845 eV per atom
- Fermi-level density of states: 19.11 states/eV/cell
- Calculated volume: 17.7 A^3/atom
- Density: 11.81 g/cm3

Lattice parameters (Å, degrees): 3.543 9.997 9.997 90.00 90.00 90.00
Atoms (fractional coordinates):
U 0.000 0.000 0.000
U 0.000 0.500 0.500
Pa 0.000 0.671 0.171
Pa 0.000 0.329 0.829
Pa 0.000 0.171 0.329
Pa 0.000 0.829 0.671
Al 0.000 0.125 0.625
Al 0.000 0.875 0.375
Al 0.000 0.625 0.875
Al 0.000 0.375 0.125
Ru 0.500 0.203 0.074
Ru 0.500 0.797 0.926
Ru 0.500 0.074 0.797
Ru 0.500 0.703 0.426
Ru 0.500 0.926 0.203
Ru 0.500 0.297 0.574
Ru 0.500 0.574 0.703
Ru 0.500 0.426 0.297
Ru 0.500 0.500 0.000
Ru 0.500 0.000 0.500

=====

Entry 14:
## PaAlZnRu (PBE)

Data for a geometry-optimized PaAlZnRu structure.

- Electronic total energy: -6.178 eV per atom
- Fermi-level density of states: 4.10 states/eV/cell
- Calculated volume: 18.1 A^3/atom
- Density: 9.74 g/cm3

Lattice parameters (Å, degrees): 4.677 4.677 4.677 60.00 60.00 60.00
Atoms (fractional coordinates):
Ru 0.750 0.750 0.750
Zn 0.250 0.250 0.250
Pa 0.500 0.500 0.500
Al 0.000 0.000 0.000

=====

Entry 15:
## Pa3AlS6 (PBE)

Data for a geometry-optimized Pa3AlS6 structure.

- Fermi-level density of states: 30.29 states/eV/cell
- E_form (uncorrected): -1.38 eV/atom
- Calculated volume: 22.2 A^3/atom
- Density: 6.84 g/cm3

Lattice parameters (Å, degrees): 6.501 8.319 8.319 99.99 90.00 90.00
Atoms (fractional coordinates):
Pa 0.491 0.915 0.731
Pa 0.991 0.731 0.915
Pa 0.384 0.401 0.599
Pa 0.884 0.599 0.401
Pa 0.991 0.085 0.269
Pa 0.491 0.269 0.085
Al 0.005 0.178 0.822
Al 0.505 0.822 0.178
S 0.189 0.701 0.619
S 0.689 0.619 0.701
S 0.183 0.424 0.900
S 0.683 0.900 0.424
S 0.209 0.025 0.975
S 0.661 0.226 0.774
S 0.161 0.774 0.226
S 0.709 0.975 0.025
S 0.183 0.100 0.576
S 0.683 0.576 0.100
S 0.189 0.381 0.299
S 0.689 0.299 0.381

=====

Entry 16:
## PaAl2S6 (PBE)

Data for a geometry-optimized PaAl2S6 structure.

- Fermi-level density of states: 3.05 states/eV/cell
- E_form (uncorrected): -1.02 eV/atom
- Calculated volume: 21.6 A^3/atom
- Density: 4.08 g/cm3

Lattice parameters (Å, degrees): 4.927 6.422 7.191 73.34 69.97 67.44
Atoms (fractional coordinates):
Pa 0.000 0.500 0.500
Al 0.173 0.714 0.939
Al 0.827 0.286 0.061
S 0.726 0.667 0.882
S 0.274 0.333 0.118
S 0.947 0.877 0.228
S 0.371 0.666 0.591
S 0.053 0.123 0.772
S 0.629 0.334 0.409

=====

Entry 17:
## PaAlS (PBE)

Data for a geometry-optimized PaAlS structure.

- Fermi-level density of states: 8.22 states/eV/cell
- E_form (uncorrected): -0.49 eV/atom
- Calculated volume: 19.6 A^3/atom
- Density: 8.19 g/cm3

Lattice parameters (Å, degrees): 5.655 5.655 7.484 49.32 49.32 43.68
Atoms (fractional coordinates):
Al 0.881 0.881 0.487
Al 0.872 0.872 0.820
Pa 0.636 0.636 0.397
Pa 0.117 0.117 0.911
S 0.362 0.362 0.363
S 0.391 0.391 0.944

=====

Entry 18:
## PaAlTlS4 (PBE)

Data for a geometry-optimized PaAlTlS4 structure.

- Fermi-level density of states: 7.80 states/eV/cell
- E_form (uncorrected): -1.01 eV/atom
- Calculated volume: 25.0 A^3/atom
- Density: 5.60 g/cm3

Lattice parameters (Å, degrees): 7.264 7.888 8.953 124.58 90.00 117.41
Atoms (fractional coordinates):
Pa 0.500 0.000 0.500
Pa 0.500 0.000 0.000
Al 0.500 0.500 0.500
Al 0.000 0.500 0.500
Tl 0.813 0.625 0.063
Tl 0.187 0.375 0.937
S 0.749 0.498 0.677
S 0.283 0.025 0.262
S 0.742 0.025 0.262
S 0.749 0.498 0.321
S 0.251 0.502 0.679
S 0.717 0.975 0.738
S 0.258 0.975 0.738
S 0.251 0.502 0.323

=====

Entry 19:
## Pa2AlSb3 (PBE)

Data for a geometry-optimized Pa2AlSb3 structure.

- Fermi-level density of states: 4.39 states/eV/cell
- E_form (uncorrected): -0.45 eV/atom
- Calculated volume: 26.2 A^3/atom
- Density: 9.03 g/cm3

Lattice parameters (Å, degrees): 4.260 4.260 8.660 90.00 90.00 90.00
Atoms (fractional coordinates):
Pa 0.500 0.000 0.719
Pa 0.000 0.500 0.281
Al 0.500 0.500 0.000
Sb 0.500 0.000 0.353
Sb 0.000 0.500 0.647
Sb 0.000 0.000 0.000

=====

Entry 20:
## PaAlSb (PBE)

Data for a geometry-optimized PaAlSb structure.

- Fermi-level density of states: 3.91 states/eV/cell
- E_form (uncorrected): -0.14 eV/atom
- Calculated volume: 23.4 A^3/atom
- Density: 8.98 g/cm3

Lattice parameters (Å, degrees): 3.679 4.694 4.694 120.00 90.00 90.00
Atoms (fractional coordinates):
Sb 0.166 0.333 0.667
Pa 0.667 0.667 0.333
Al 0.167 0.000 0.000

=====

Entry 21:
## PaAlSb (PBE)

Data for a geometry-optimized PaAlSb structure.

- Fermi-level density of states: 6.84 states/eV/cell
- E_form (uncorrected): -0.20 eV/atom
- Calculated volume: 24.4 A^3/atom
- Density: 8.61 g/cm3

Lattice parameters (Å, degrees): 4.432 4.232 8.115 90.00 105.85 90.00
Atoms (fractional coordinates):
Al 0.448 0.750 0.895
Al 0.552 0.250 0.105
Sb 0.749 0.750 0.498
Sb 0.251 0.250 0.502
Pa 0.903 0.250 0.806
Pa 0.097 0.750 0.194